! Y3Er6Tm2Sc, optimized geometry, DFT GGA-PBE; values from VASP
! Crystal system ... monoclinic
! E_form ... 0.035 eV/atom
! Uncorrected energy ... -61.63 eV for the cell shown
! Symmetry ... C2/m (12)
&SYSTEM
  ibrav = 0, nat = 12, ntyp = 4
/
ATOMIC_SPECIES
Y 88.91 Y.upf
Er 167.26 Er.upf
Tm 168.93 Tm.upf
Sc 44.96 Sc.upf
CELL_PARAMETERS angstrom
3.033 -5.247 0.000
3.033 5.247 0.000
-2.015 0.000 11.427
ATOMIC_POSITIONS crystal
Y 0.000 0.000 0.000
Y 0.333 0.667 0.000
Y 0.667 0.333 0.000
Er 0.087 0.419 0.255
Er 0.250 0.250 0.745
Er 0.419 0.087 0.255
Er 0.581 0.913 0.745
Er 0.750 0.750 0.255
Er 0.913 0.581 0.745
Tm 0.167 0.833 0.500
Tm 0.833 0.167 0.500
Sc 0.500 0.500 0.500

---

! Y2ErTm2Sc, optimized geometry, DFT GGA-PBE; values from VASP
! Crystal system ... orthorhombic
! E_form ... 0.276 eV/atom
! Uncorrected energy ... -62.22 eV for the cell shown
! Symmetry ... Pnnm (58)
&SYSTEM
  ibrav = 0, nat = 12, ntyp = 4
/
ATOMIC_SPECIES
Y 88.91 Y.upf
Er 167.26 Er.upf
Tm 168.93 Tm.upf
Sc 44.96 Sc.upf
CELL_PARAMETERS angstrom
6.416 0.000 0.000
0.000 17.324 0.000
0.000 0.000 3.313
ATOMIC_POSITIONS crystal
Y 0.243 0.183 0.000
Y 0.257 0.683 0.500
Y 0.743 0.317 0.500
Y 0.757 0.817 0.000
Er 0.000 0.500 0.000
Er 0.500 0.000 0.500
Tm 0.242 0.356 0.500
Tm 0.258 0.856 0.000
Tm 0.742 0.144 0.000
Tm 0.758 0.644 0.500
Sc 0.000 0.000 0.000
Sc 0.500 0.500 0.500

---

- Which value of E_form does entry 1 give?
  0.035 eV/atom

---

- Which value of uncorrected energy does entry 2 give?
  -62.22 eV for the cell shown

---

- What is the E_form in the first record?
  0.035 eV/atom

---

- What is the formula in the first record?
  Y3Er6Tm2Sc